[1]
## TcNiP2 (PBE)

Data for crystalline TcNiP2 at its relaxed geometry.

Total energy, eV/atom: -6.78
Formation enthalpy at 0 K, eV per formula unit: -0.2
M_tot, μB per formula unit: 1.7

Cell: 5.880 5.880 5.880 Å, 90.00 90.00 90.00°
Space group Fm-3m (No. 225)
Asymmetric unit:
Tc  0.000  0.000  0.000 x4
Ni  0.000  0.000  0.500 x4
P  0.250  0.250  0.250 x8

---

[2]
## Al2AsPSe (PBE)

Data for crystalline Al2AsPSe at its relaxed geometry.

Total energy, eV/atom: -3.32
E_form (uncorrected), meV/atom: 884
M_tot, μB per formula unit: 0.0

Cell: 4.897 4.897 5.066 Å, 90.00 90.00 90.00°
Space group P4/mmm (No. 123)
Asymmetric unit:
Al  0.000  0.500  0.000 x2
As  0.000  0.000  0.500 x1
P  0.500  0.500  0.500 x1
Se  0.000  0.000  0.000 x1

---

[3]
## HgOsPb2 (PBE)

Data for crystalline HgOsPb2 at its relaxed geometry.

Total energy, eV/atom: -4.21
Formation enthalpy at 0 K, eV per formula unit: 2.1
M_tot, μB per formula unit: 0.0

Cell: 3.168 4.718 13.926 Å, 90.00 90.00 90.00°
Space group Immm (No. 71)
Asymmetric unit:
Hg  0.000  0.000  0.000 x2
Os  0.000  0.000  0.500 x2
Pb  0.000  0.500  0.170 x4

---

[4]
## SnTe2IO (PBE)

Data for crystalline SnTe2IO at its relaxed geometry.

Total energy, eV/atom: -2.52
E_form (uncorrected), meV/atom: 836
M_tot, μB per formula unit: 3.1

Cell: 5.798 5.798 5.998 Å, 90.00 90.00 90.00°
Space group P4/mmm (No. 123)
Asymmetric unit:
Sn  0.000  0.000  0.000 x1
Te  0.000  0.500  0.000 x2
I  0.000  0.000  0.500 x1
O  0.500  0.500  0.500 x1

---

[5]
## Tb5Al2Pb (PBE)

Data for crystalline Tb5Al2Pb at its relaxed geometry.

Total energy, eV/atom: -4.67
Formation enthalpy at 0 K, eV per formula unit: -3.0
M_tot, μB per formula unit: 0.0

Cell: 8.025 8.025 13.901 Å, 90.00 90.00 90.00°
Space group I4/mcm (No. 140)
Asymmetric unit:
Tb  0.000  0.000  0.000 x4
Tb  0.164  0.336  0.146 x16
Al  0.125  0.375  0.500 x8
Pb  0.000  0.000  0.250 x4

---

[6]
## LiNpGe2Rh (PBE)

Data for crystalline LiNpGe2Rh at its relaxed geometry.

Total energy, eV/atom: -6.66
Formation enthalpy at 0 K, eV per formula unit: -1.9
M_tot, μB per formula unit: 3.8

Cell: 4.052 4.052 10.745 Å, 90.00 90.00 90.00°
Space group I-4m2 (No. 119)
Asymmetric unit:
Li  0.000  0.000  0.000 x2
Np  0.000  0.500  0.250 x2
Ge  0.000  0.500  0.634 x4
Rh  0.000  0.000  0.500 x2